Density functional theory data (GGA-PBE) for a relaxed structure of ZnTcS2Cl.

## Properties
uncorrected formation energy = 0.642 eV per atom
N(E_F) = 1.5 states/eV per cell
excess energy over the best structure of this formula in the dataset = 0.540 eV/atom
uncorrected energy = -3.71 eV/atom

a b c (Å): 4.6746 4.6746 4.8261
angles (deg): 90.00 90.00 90.00
With the nearest neighbours (Å) after each atom.
Space group P4/mmm (No. 123)
Inequivalent atoms, fractional coordinates:
Zn (0.0000, 0.0000, 0.0000) x1  4 S 2.34, 2 Cl 2.41
Tc (0.5000, 0.5000, 0.5000) x1  4 Cl 3.31, 8 S 3.36
S (0.0000, 0.5000, 0.0000) x2  2 Zn 2.34
Cl (0.0000, 0.0000, 0.5000) x1  2 Zn 2.41